VASP calculation (PBE) on a geometry-optimized Sr2AlAg2 structure.

Lattice parameters (Å, degrees): 4.6835 6.4018 10.4649 82.99 77.07 68.54
Closest atoms and distances in Å follow each position.
Fractional positions:
Sr  0.3084  0.2688  0.1143  6 Ag 3.32-3.61, 2 Al 3.64
Sr  0.5024  0.3289  0.6663  7 Ag 3.33-3.72, 4 Al 3.41-3.53
Sr  0.6916  0.7312  0.8857  6 Ag 3.32-3.61, 2 Al 3.64
Sr  0.4976  0.6711  0.3337  7 Ag 3.33-3.72, 4 Al 3.41-3.53
Al  0.7756  0.0792  0.3696  4 Ag 2.69-2.82
Al  0.2244  0.9208  0.6304  4 Ag 2.69-2.82
Ag  0.9992  0.1271  0.8745  1 Al 2.82, 1 Ag 2.92
Ag  0.1496  0.2612  0.4395  3 Al 2.69-2.75
Ag  0.0008  0.8729  0.1255  1 Al 2.82, 1 Ag 2.92
Ag  0.8504  0.7388  0.5605  3 Al 2.69-2.75

Space group   C2/m

=====

VASP calculation (PBE) on a geometry-optimized Sr2AlAg structure.

Lattice parameters (Å, degrees): 4.6774 4.8337 6.3330 112.43 90.00 90.00
Closest atoms and distances in Å follow each position.
Fractional positions:
Sr  0.0000  0.9808  0.9616  3 Ag 3.36-3.52, 4 Al 3.52
Sr  0.5000  0.2695  0.5391  3 Al 3.37-3.50, 4 Ag 3.52
Al  0.5000  0.5688  0.1376  2 Ag 2.68
Ag  0.0000  0.6801  0.3602  2 Al 2.68

Space group   Amm2

=====

VASP calculation (PBE) on a geometry-optimized SrAl3Ag3 structure.

Lattice parameters (Å, degrees): 4.6620 7.1368 11.5097 130.15 90.00 90.00
Closest atoms and distances in Å follow each position.
Fractional positions:
Sr  0.7500  0.2529  0.6655  3 Al 3.25-3.41, 9 Ag 3.37-3.55
Sr  0.2500  0.7471  0.3345  3 Al 3.25-3.41, 9 Ag 3.37-3.55
Al  0.7500  0.7913  0.0021  4 Ag 2.73-2.77, 6 Al 2.77-3.00
Al  0.7500  0.2991  0.1931  3 Ag 2.58-2.73, 3 Al 2.77-2.78
Al  0.7500  0.9191  0.8136  4 Ag 2.75-2.85, 5 Al 2.78-2.92
Al  0.2500  0.2087  0.9979  4 Ag 2.73-2.77, 6 Al 2.77-3.00
Al  0.2500  0.7009  0.8069  3 Ag 2.58-2.73, 3 Al 2.77-2.78
Al  0.2500  0.0809  0.1864  4 Ag 2.75-2.85, 5 Al 2.78-2.92
Ag  0.7500  0.0748  0.3141  4 Al 2.72-2.77, 2 Ag 2.93
Ag  0.7500  0.4416  0.0363  5 Al 2.58-2.85, 2 Ag 2.78
Ag  0.7500  0.6316  0.5028  2 Al 2.73-2.75, 4 Ag 2.93-2.97
Ag  0.2500  0.9252  0.6859  4 Al 2.72-2.77, 2 Ag 2.93
Ag  0.2500  0.5584  0.9637  5 Al 2.58-2.85, 2 Ag 2.78
Ag  0.2500  0.3684  0.4972  2 Al 2.73-2.75, 4 Ag 2.93-2.97

Space group   P2_1/m

=====

VASP calculation (PBE) on a geometry-optimized SrAl2Ag2 structure.

Lattice parameters (Å, degrees): 5.9020 6.1448 7.6971 80.85 67.70 65.84
Closest atoms and distances in Å follow each position.
Fractional positions:
Sr  0.8751  0.7504  0.2496  6 Ag 3.27-3.66, 3 Al 3.45-3.67
Sr  0.1249  0.2496  0.7504  6 Ag 3.27-3.66, 3 Al 3.45-3.67
Al  0.5333  0.3604  0.2622  4 Ag 2.61-2.66, 1 Al 2.79
Al  0.7980  0.8592  0.7371  4 Ag 2.62-2.66, 1 Al 2.79
Al  0.2020  0.1408  0.2629  4 Ag 2.62-2.66, 1 Al 2.79
Al  0.4667  0.6396  0.7378  4 Ag 2.61-2.66, 1 Al 2.79
Ag  0.4736  0.7518  0.0501  4 Al 2.62-2.66
Ag  0.7354  0.2511  0.5279  4 Al 2.61-2.65
Ag  0.5264  0.2482  0.9499  4 Al 2.62-2.66
Ag  0.2646  0.7489  0.4721  4 Al 2.61-2.65

Space group   P-1

=====

VASP calculation (PBE) on a geometry-optimized Sr2AlAg structure.

Lattice parameters (Å, degrees): 4.6835 6.2799 9.7979 113.07 90.00 90.00
Closest atoms and distances in Å follow each position.
Fractional positions:
Sr  0.7500  0.2127  0.4271  4 Ag 3.35-3.54, 3 Al 3.37-3.52
Sr  0.2500  0.7873  0.5729  4 Ag 3.35-3.54, 3 Al 3.37-3.52
Sr  0.2500  0.7864  0.0707  3 Ag 3.34-3.55, 4 Al 3.38-3.53
Sr  0.7500  0.2136  0.9293  3 Ag 3.34-3.55, 4 Al 3.38-3.53
Al  0.2500  0.3870  0.2224  2 Ag 2.67
Al  0.7500  0.6130  0.7776  2 Ag 2.67
Ag  0.7500  0.6092  0.2778  2 Al 2.67
Ag  0.2500  0.3908  0.7222  2 Al 2.67

Space group   P2_1/m

=====

VASP calculation (PBE) on a geometry-optimized Sr3AlAg3 structure.

Lattice parameters (Å, degrees): 4.6275 6.4309 15.0898 85.13 81.18 68.91
Closest atoms and distances in Å follow each position.
Fractional positions:
Sr  0.5251  0.3354  0.6144  6 Ag 3.31-3.49, 4 Al 3.42-3.54
Sr  0.4749  0.6646  0.3856  6 Ag 3.31-3.49, 4 Al 3.42-3.54
Sr  0.2520  0.2600  0.2361  6 Ag 3.32-3.60, 2 Al 3.63
Sr  0.7480  0.7400  0.7639  6 Ag 3.32-3.60, 2 Al 3.63
Sr  0.3970  0.2853  0.9207  7 Ag 3.41-3.51
Sr  0.6030  0.7147  0.0793  7 Ag 3.41-3.51
Al  0.7562  0.0764  0.4113  4 Ag 2.67-2.85
Al  0.2438  0.9236  0.5887  4 Ag 2.67-2.85
Ag  0.8604  0.7379  0.5412  3 Al 2.67-2.76
Ag  0.1396  0.2621  0.4588  3 Al 2.67-2.76
Ag  0.1070  0.8657  0.9203  2 Ag 2.91-2.92
Ag  0.8930  0.1343  0.0797  2 Ag 2.91-2.92
Ag  0.9485  0.8585  0.2445  1 Al 2.85, 1 Ag 2.92
Ag  0.0515  0.1415  0.7555  1 Al 2.85, 1 Ag 2.92

Space group   C2/m

=====

Number 1: calculated density 4.9 Mg/m³, electronic total energy -2.833 eV/atom, calculated formation energy -271 meV/atom. Number 2: calculated density 3.9 Mg/m³, electronic total energy -2.704 eV/atom, calculated formation energy -215 meV/atom. Number 3: calculated density 5.6 Mg/m³, electronic total energy -3.224 eV/atom, calculated formation energy -158 meV/atom. Number 4: calculated density 5.0 Mg/m³, electronic total energy -3.167 eV/atom, calculated formation energy -193 meV/atom. Number 5: calculated density 3.9 Mg/m³, electronic total energy -2.710 eV/atom, calculated formation energy -221 meV/atom. Number 6: calculated density 4.9 Mg/m³, electronic total energy -2.762 eV/atom, calculated formation energy -284 meV/atom.